Entry 1:
Below is a PBEsol-optimized structure of BaZrTc2, with properties calculated at the SCAN level.

The structure in CIF format:
```
data_BaZrTc2
_chemical_formula_sum 'Ba1 Zr1 Tc2'
_cell_length_a 3.273
_cell_length_b 4.491
_cell_length_c 5.203
_cell_angle_alpha 90.00
_cell_angle_beta 90.00
_cell_angle_gamma 90.00
_symmetry_space_group_name_H-M 'P m m m'
_symmetry_Int_Tables_number 47
loop_
_symmetry_equiv_pos_as_xyz
'x,y,z'
'-x,-y,-z'
'-x,-y,z'
'x,y,-z'
'x,-y,-z'
'-x,y,z'
'-x,y,-z'
'x,-y,z'
loop_
_atom_site_label
_atom_site_type_symbol
_atom_site_fract_x
_atom_site_fract_y
_atom_site_fract_z
Ba1 Ba 0.000 0.000 0.000
Zr1 Zr 0.500 0.000 0.500
Tc1 Tc 0.000 0.500 0.500
Tc2 Tc 0.500 0.500 0.000
```

Results
Size of the total moment = 0.00 μB/atom
Calculated formation energy = 1042 meV/atom
Total DFT energy (no corrections) = -34.05 eV/atom


Entry 2:
Below is a PBEsol-optimized structure of Ba2ZrTc, with properties calculated at the SCAN level.

The structure in CIF format:
```
data_Ba2ZrTc
_chemical_formula_sum 'Ba4 Zr2 Tc2'
_cell_length_a 3.446
_cell_length_b 5.559
_cell_length_c 11.139
_cell_angle_alpha 90.00
_cell_angle_beta 90.00
_cell_angle_gamma 90.00
_symmetry_space_group_name_H-M 'C m m m'
_symmetry_Int_Tables_number 65
_symmetry_space_group_name_Hall '-C 2 2'
loop_
_atom_site_label
_atom_site_type_symbol
_atom_site_fract_x
_atom_site_fract_y
_atom_site_fract_z
Ba1 Ba 0.000 0.000 0.212
Zr1 Zr 0.000 0.500 0.500
Tc1 Tc 0.000 0.500 0.000
```

Results
Size of the total moment = 0.00 μB/atom
Calculated formation energy = 1202 meV/atom
Total DFT energy (no corrections) = -35.01 eV/atom


Q: Number 2 is which compound?
A: Ba2ZrTc